# 1
Na2Cu3Ge4O12 | meta-GGA SCAN | single point on PBEsol structure Values from VASP.

Structure (Quantum ESPRESSO input):
```
&SYSTEM
  ibrav = 0, nat = 21, ntyp = 4
/
ATOMIC_SPECIES
Na 22.99 Na.upf
Cu 63.55 Cu.upf
Ge 72.64 Ge.upf
O 16.00 O.upf
CELL_PARAMETERS angstrom
5.5001 0.0324 -0.0106
0.1294 6.3258 0.0477
1.6426 0.2569 7.4156
ATOMIC_POSITIONS angstrom
Na 1.5173 1.7466 4.4611
Na 5.7548 4.8685 2.9916
Cu 4.1686 1.2533 6.0893
Cu 3.1034 5.3619 1.3634
Cu 0.0000 0.0000 0.0000
Ge 1.7372 2.5508 1.3356
Ge 5.5348 4.0643 6.1171
Ge 4.4647 1.5067 2.7565
Ge 2.8073 5.1085 4.6962
O 4.8615 0.9176 4.3455
O 2.4105 5.6976 3.1072
O 1.8109 4.1441 0.6511
O 5.4611 2.4711 6.8016
O 1.5689 1.0976 0.3551
O 5.7031 5.5176 7.0975
O 2.9419 2.3934 2.6625
O 4.3301 4.2217 4.7902
O 5.7606 2.6607 2.3552
O 2.7097 6.4877 5.7979
O 4.5623 0.1274 1.6548
O 1.5114 3.9544 5.0975
```

E_form (uncorrected)	-32.624	eV/f.u.

# 2
NbCuGe | meta-GGA SCAN | single point on PBEsol structure Values from VASP.

Structure (Quantum ESPRESSO input):
```
&SYSTEM
  ibrav = 0, nat = 6, ntyp = 3
/
ATOMIC_SPECIES
Ge 72.64 Ge.upf
Nb 92.91 Nb.upf
Cu 63.55 Cu.upf
CELL_PARAMETERS angstrom
-3.3676 0.6297 1.0824
-1.1059 -2.9523 -1.7233
1.1027 -3.6576 5.5586
ATOMIC_POSITIONS angstrom
Ge 0.2671 -4.1961 3.2719
Ge -1.4011 -0.6229 1.9662
Nb -0.7300 -2.8489 5.3492
Nb -0.4041 -1.9701 -0.1110
Cu -1.6854 -2.9901 2.4589
Cu 0.5514 -1.8288 2.7793
```

formation energy from the elements	-408	meV per atom

# 3
NbCu2GeO | meta-GGA SCAN | single point on PBEsol structure Values from VASP.

Structure (Quantum ESPRESSO input):
```
&SYSTEM
  ibrav = 0, nat = 5, ntyp = 4
/
ATOMIC_SPECIES
O 16.00 O.upf
Nb 92.91 Nb.upf
Ge 72.64 Ge.upf
Cu 63.55 Cu.upf
CELL_PARAMETERS angstrom
-1.5620 -3.6584 0.4092
0.8411 0.0781 3.9087
-3.7027 1.6663 0.7635
ATOMIC_POSITIONS angstrom
O 0.0000 0.0000 0.0000
Nb -1.8513 0.8331 0.3817
Ge -2.2118 -0.9570 2.5407
Cu 0.4205 0.0390 1.9543
Cu -0.7810 -1.8292 0.2046
```

E_form (uncorrected)	-1.324	eV/f.u.

# 4
Nd3Cu4Ge4 | meta-GGA SCAN | single point on PBEsol structure Values from VASP.

Structure (Quantum ESPRESSO input):
```
&SYSTEM
  ibrav = 0, nat = 11, ntyp = 3
/
ATOMIC_SPECIES
Ge 72.64 Ge.upf
Nd 144.24 Nd.upf
Cu 63.55 Cu.upf
CELL_PARAMETERS angstrom
4.2704 0.0000 0.0000
0.0000 6.6316 0.0000
-2.1352 -3.3158 7.0454
ATOMIC_POSITIONS angstrom
Ge 2.1352 0.0000 3.9984
Ge 0.0000 3.3158 3.0470
Ge 2.1352 5.3756 0.0000
Ge 2.1352 1.2560 0.0000
Nd 2.1352 3.3158 5.1765
Nd 0.0000 0.0000 1.8689
Nd 0.0000 3.3158 0.0000
Cu 2.1352 2.0799 2.3468
Cu 0.0000 -1.2359 4.6986
Cu 0.0000 1.2359 4.6986
Cu 2.1352 4.5517 2.3468
```

formation energy from the elements	-683	meV per atom

# 5
Nd2CuGe6 | meta-GGA SCAN | single point on PBEsol structure Values from VASP.

Structure (Quantum ESPRESSO input):
```
&SYSTEM
  ibrav = 0, nat = 9, ntyp = 3
/
ATOMIC_SPECIES
Nd 144.24 Nd.upf
Cu 63.55 Cu.upf
Ge 72.64 Ge.upf
CELL_PARAMETERS angstrom
-2.8663 0.5923 -2.7833
2.5316 -1.4166 -2.9085
-2.2482 -10.2914 3.0557
ATOMIC_POSITIONS angstrom
Nd -5.0880 -9.6269 0.2604
Nd -2.4348 -6.6107 1.1006
Cu -2.1854 -5.8911 -1.9337
Ge -3.0194 -4.0106 -0.6746
Ge -2.1795 -1.7303 -1.0543
Ge -2.0665 -9.7555 0.0520
Ge -2.9847 -8.0613 -1.5725
Ge 0.5237 -2.7231 -1.1188
Ge -0.3174 -5.0067 -0.7387
```

formation energy from the elements	-512	meV per atom

# 6
Nd3CuGeSe7 | meta-GGA SCAN | single point on PBEsol structure Values from VASP.

Structure (Quantum ESPRESSO input):
```
&SYSTEM
  ibrav = 0, nat = 24, ntyp = 4
/
ATOMIC_SPECIES
Nd 144.24 Nd.upf
Cu 63.55 Cu.upf
Ge 72.64 Ge.upf
Se 78.96 Se.upf
CELL_PARAMETERS angstrom
6.0277 0.0000 0.0000
0.0000 10.4759 0.0000
0.0000 -5.2380 9.0724
ATOMIC_POSITIONS angstrom
Nd 1.5220 5.7342 5.8474
Nd 1.5220 7.4349 1.1828
Nd 1.5220 2.5448 2.0422
Nd 4.5359 -0.4962 3.2250
Nd 4.5359 2.6931 7.0302
Nd 4.5359 -2.1969 7.8897
Cu 4.6939 0.0000 0.0000
Cu 1.6800 0.0000 0.0000
Ge 4.0383 5.2380 3.0241
Ge 1.0245 0.0000 6.0483
Se 0.3413 5.2380 3.0241
Se 0.0598 1.7055 4.6915
Se 1.6131 3.3936 7.5987
Se 4.6269 8.2775 0.8605
Se 3.0737 7.2657 3.8228
Se 3.3551 0.0000 6.0483
Se 4.6269 5.5920 6.7383
Se 0.0598 -2.0278 5.2497
Se 1.6131 -3.0395 8.2120
Se 3.0737 3.5324 4.3809
Se 3.0737 4.9157 0.8687
Se 0.0598 0.3223 8.2037
Se 1.6131 -0.3540 2.3341
Se 4.6269 1.8444 1.4737
```

E_form (uncorrected)	-17.939	eV/f.u.

The calculation returns the following V values, one per record and in order: 258.0; 87.1; 66.1; 199.5; 178.9; 572.9 Å³/cell.